1.
Material: Sm3Ga3Ni2
Method: DFT, PBE
State: optimized geometry

The total magnetization is 0.000 μB per cell. Its calculated formation energy is -4.52 eV per formula unit.

The space group is Pnma (No. 62) and the conventional cell measures 7.968, 14.922 and 5.553 Å, with angles of 90.00, 90.00 and 90.00 degrees. The distinct sites, in fractional coordinates, are Sm at (0.042, 0.108, 0.125), Sm at (0.185, 0.250, 0.626), Ga at (0.163, 0.750, 0.611), Ga at (0.183, 0.038, 0.616) and Ni at (0.103, 0.604, 0.380).

=====

2.
Material: Sr3PmC2N6
Method: DFT, PBE
State: optimized geometry

The total magnetization is 0.000 μB per cell. Its formation energy without anion corrections is -695 meV/atom.

The space group is P-3m1 (No. 164) and the conventional cell measures 5.6828, 5.6828 and 6.6914 Å, with angles of 90.00, 90.00 and 120.00 degrees. The distinct sites, in fractional coordinates, are Sr at (0.0000, 0.0000, 0.0000), Sr at (0.3333, 0.6667, 0.6791), Pm at (0.0000, 0.0000, 0.5000), C at (0.3333, 0.6667, 0.2683) and N at (0.1945, 0.3890, 0.2776).

=====

3.
Material: Tb2DyNpS4
Method: DFT, PBE
State: optimized geometry

The total magnetization is 4.505 μB per cell. Its formation energy without anion corrections is -1852 meV/atom.

The space group is P2/m (No. 10) and the conventional cell measures 6.787, 3.912 and 6.788 Å, with angles of 90.00, 109.35 and 90.00 degrees. The distinct sites, in fractional coordinates, are Tb at (0.000, 0.000, 0.000), Tb at (0.500, 0.500, 0.000), Dy at (0.000, 0.500, 0.500), Np at (0.500, 0.000, 0.500), S at (0.249, 0.000, 0.749) and S at (0.250, 0.500, 0.251).

=====

4.
Material: Th3Cu2Hg5
Method: DFT, PBE
State: optimized geometry

The total magnetization is 0.000 μB per cell. Its calculated formation energy is 0.16 eV per formula unit.

The space group is Ibam (No. 72) and the conventional cell measures 12.005, 12.604 and 6.539 Å, with angles of 90.00, 90.00 and 90.00 degrees. The distinct sites, in fractional coordinates, are Th at (0.000, 0.000, 0.250), Th at (0.232, 0.365, 0.000), Cu at (0.137, 0.136, 0.000), Hg at (0.000, 0.249, 0.250), Hg at (0.000, 0.500, 0.250) and Hg at (0.156, 0.381, 0.500).

=====

5.
Material: SmAlI
Method: DFT, PBE
State: optimized geometry

The total magnetization is 0.000 μB per cell. Its formation energy without anion corrections is -931 meV/atom.

The space group is C2/m (No. 12) and the conventional cell measures 7.510, 4.336 and 12.664 Å, with angles of 90.00, 101.69 and 90.00 degrees. The distinct sites, in fractional coordinates, are Sm at (0.058, 0.000, 0.170), Al at (0.162, 0.500, 0.985) and I at (0.220, 0.000, 0.669).

=====

6.
Material: Sm2DyRh
Method: DFT, PBE
State: optimized geometry

The calculation puts the energy above the most stable polymorph in this dataset at 34.2 meV/atom. The total magnetization is 0.000 μB per cell. Its calculated formation energy is -1.77 eV per formula unit.

The space group is Cmcm (No. 63) and the conventional cell measures 3.862, 11.865 and 9.742 Å, with angles of 90.00, 90.00 and 90.00 degrees. The distinct sites, in fractional coordinates, are Sm at (0.000, 0.138, 0.067), Dy at (0.000, 0.418, 0.250) and Rh at (0.000, 0.260, 0.750).

=====

7.
Material: CaTl2Co
Method: DFT, PBE
State: optimized geometry

The total magnetization is 2.197 μB per cell. Its calculated formation energy is 0.51 eV per formula unit.

The space group is C2/m (No. 12) and the conventional cell measures 9.832, 3.726 and 5.580 Å, with angles of 90.00, 111.63 and 90.00 degrees. The distinct sites, in fractional coordinates, are Ca at (0.000, 0.000, 0.000), Tl at (0.216, 0.000, 0.698) and Co at (0.000, 0.500, 0.500).

=====

8.
Material: GdErCd4
Method: DFT, PBE
State: optimized geometry

The total magnetization is 30.190 μB per cell. Its calculated formation energy is -1.54 eV per formula unit.

The space group is F-43m (No. 216) and the conventional cell measures 8.357, 8.357 and 8.357 Å, with angles of 90.00, 90.00 and 90.00 degrees. The distinct sites, in fractional coordinates, are Gd at (0.000, 0.000, 0.000), Er at (0.250, 0.250, 0.750) and Cd at (0.125, 0.125, 0.375).

=====

9.
Material: PrDyCd5
Method: DFT, PBE
State: optimized geometry

The total magnetization is 0.000 μB per cell. Its calculated formation energy is -0.89 eV per formula unit.

The space group is P4/mmm (No. 123) and the conventional cell measures 5.238, 5.238 and 6.880 Å, with angles of 90.00, 90.00 and 90.00 degrees. The distinct sites, in fractional coordinates, are Pr at (0.000, 0.000, 0.000), Dy at (0.500, 0.500, 0.500), Cd at (0.000, 0.500, 0.273) and Cd at (0.500, 0.500, 0.000).

=====

10.
Material: Zr2TcTe
Method: DFT, PBE
State: optimized geometry

The total magnetization is 0.000 μB per cell. Its formation energy without anion corrections is -321 meV/atom.

The space group is Imm2 (No. 44) and the conventional cell measures 3.475, 4.513 and 10.421 Å, with angles of 90.00, 90.00 and 90.00 degrees. The distinct sites, in fractional coordinates, are Zr at (0.000, 0.000, 0.000), Zr at (0.000, 0.500, 0.227), Tc at (0.000, 0.500, 0.723) and Te at (0.000, 0.000, 0.439).

=====

11.
Material: TiN
Method: DFT, PBE
State: optimized geometry

The total magnetization is 0.002 μB per cell. Its formation energy without anion corrections is -829 meV/atom.

The space group is Pm-3m (No. 221) and the conventional cell measures 2.639, 2.639 and 2.639 Å, with angles of 90.00, 90.00 and 90.00 degrees. The distinct sites, in fractional coordinates, are Ti at (0.000, 0.000, 0.000) and N at (0.500, 0.500, 0.500).

=====

12.
Material: Mn2TlSi
Method: DFT, PBE
State: optimized geometry

The total magnetization is 5.001 μB per cell. Its formation energy without anion corrections is 317 meV/atom.

The space group is Pmm2 (No. 25) and the conventional cell measures 2.926, 3.694 and 6.334 Å, with angles of 90.00, 90.00 and 90.00 degrees. The distinct sites, in fractional coordinates, are Mn at (0.000, 0.000, 0.000), Mn at (0.000, 0.500, 0.303), Tl at (0.500, 0.000, 0.581) and Si at (0.500, 0.500, 0.991).

=====

> The highest total magnetization belongs to which entry?

GdErCd4

=====

> The highest total magnetization belongs to which entry?

GdErCd4

=====

What did the eighth record say?
Material: GdErCd4
Method: DFT, PBE
State: optimized geometry

The total magnetization is 30.190 μB per cell. Its calculated formation energy is -1.54 eV per formula unit.

The space group is F-43m (No. 216) and the conventional cell measures 8.357, 8.357 and 8.357 Å, with angles of 90.00, 90.00 and 90.00 degrees. The distinct sites, in fractional coordinates, are Gd at (0.000, 0.000, 0.000), Er at (0.250, 0.250, 0.750) and Cd at (0.125, 0.125, 0.375).

=====

> What is the total magnetization in the eighth record?

30.190 μB per cell